# 1
A relaxed structure of CaTc2Mo, computed with PBE.

Cell lengths 4.613, 4.613, 3.158 Å; angles 90.00, 90.00, 90.00 degrees
Space group P4/mmm (No. 123)
One atom of each set of equivalent atoms:
Ca  0.000  0.000  0.000 [1 per cell]
Tc  0.000  0.500  0.500 [2 per cell]
Mo  0.500  0.500  0.000 [1 per cell]

**Formation enthalpy at 0 K**: 57.2 kJ/mol of atoms
**Distance to the lowest polymorph of the same formula**: 1.077 eV/f.u.

# 2
A relaxed structure of CsNaCuS2, computed with PBE.

Cell lengths 7.035, 14.688, 5.835 Å; angles 90.00, 90.00, 90.00 degrees
Space group Cmme (No. 67)
One atom of each set of equivalent atoms:
Cs  0.000  0.250  0.250 [4 per cell]
Na  0.250  0.000  0.000 [4 per cell]
Cu  0.000  0.000  0.500 [4 per cell]
S  0.000  0.106  0.744 [8 per cell]

**E_form (uncorrected)**: -653 meV per atom